No. 1
First-principles (PBE) data for a geometry-optimized Cs3BaMo structure, as listed in Alexandria via LeMat-Bulk.

a b c (Å): 6.544 6.544 6.544
angles (deg): 90.00 90.00 90.00
Positions (direct):
Cs (0.000, 0.000, 0.500)
Cs (0.000, 0.500, 0.000)
Cs (0.500, 0.000, 0.000)
Ba (0.500, 0.500, 0.500)
Mo (0.000, 0.000, 0.000)

Calculated total energy: -1.61 eV/atom


No. 2
First-principles (PBE) data for a geometry-optimized CeSc2Ga2 structure, as listed in Alexandria via LeMat-Bulk.

a b c (Å): 8.369 8.369 3.036
angles (deg): 90.00 90.00 90.00
Positions (direct):
Ce (0.000, 0.000, 0.000)
Ce (0.500, 0.500, 0.000)
Sc (0.128, 0.372, 0.000)
Sc (0.372, 0.872, 0.000)
Sc (0.628, 0.128, 0.000)
Sc (0.872, 0.628, 0.000)
Ga (0.170, 0.670, 0.500)
Ga (0.330, 0.170, 0.500)
Ga (0.670, 0.830, 0.500)
Ga (0.830, 0.330, 0.500)

Relative energy among the computed polymorphs: 0.000 eV per formula unit